Density functional theory data (PBE) for a relaxed structure of Sr2EuHg.

a b c (Å): 4.7300 5.7140 5.7140
angles (deg): 90.00 90.00 90.00
Positions (direct):
Sr 0.0000 0.0000 0.5000
Sr 0.0000 0.5000 0.0000
Hg 0.5000 0.0000 0.0000
Eu 0.5000 0.5000 0.5000

Results
calculated total energy	-3.604	eV per atom
relative energy among the computed polymorphs	0.53	eV/f.u.
V	38.6	Å³ per atom